First-principles (PBE) data for a relaxed Ce2PuOsN4 crystal, as listed in Alexandria via LeMat-Bulk.

abc: 3.3481 6.1335 11.8741
angles: 90.00 90.00 105.84
Each line ends with the local moment (μB).
Element x y z (fractional)
Os: 0.1504 0.3008 0.2500  -0.10
Os: 0.8496 0.6992 0.7500  -0.10
Pu: 0.1106 0.2211 0.7500  4.70
Pu: 0.8894 0.7789 0.2500  4.70
N: 0.0000 0.0000 0.0000  -0.03
N: 0.5421 0.0842 0.2500  -0.07
N: 0.7215 0.4430 0.6334  -0.08
N: 0.4579 0.9158 0.7500  -0.07
N: 0.7215 0.4430 0.8666  -0.08
N: 0.0000 0.0000 0.5000  -0.03
N: 0.2785 0.5570 0.3666  -0.08
N: 0.2785 0.5570 0.1334  -0.08
Ce: 0.6320 0.2640 0.4502  -0.06
Ce: 0.3680 0.7360 0.9502  -0.06
Ce: 0.6320 0.2640 0.0498  -0.06
Ce: 0.3680 0.7360 0.5498  -0.06

## Properties
formation energy from raw total energies: -0.9022 eV per atom
Fermi-level density of states: 21.14 states/eV/cell
total energy: -77.9 eV/f.u.

First-principles (PBE) data for a relaxed La2PuAl6 crystal, as listed in Alexandria via LeMat-Bulk.

abc: 3.6498 8.0936 8.0936
angles: 60.00 90.00 90.00
Each line ends with the local moment (μB).
Element x y z (fractional)
Pu: 0.0000 0.0000 0.0000  -5.27
Al: 0.5000 0.6708 0.3292  0.01
Al: 0.5004 0.3292 0.0000  0.01
Al: 0.5004 0.0000 0.3292  0.01
Al: 0.5000 0.3292 0.6708  0.01
Al: 0.4996 0.0000 0.6708  0.01
Al: 0.4996 0.6708 0.0000  0.01
La: 0.0000 0.3333 0.3333  0.00
La: 0.0000 0.6667 0.6667  0.00

## Properties
energy relative to the elements: -0.37 eV/atom
Fermi-level density of states: 9.93 states/eV/cell
total energy: -50.0 eV/f.u.

First-principles (PBE) data for a relaxed Cs3SrHg2Cl9 crystal, as listed in Alexandria via LeMat-Bulk.

abc: 7.7719 7.7719 9.5648
angles: 90.00 90.00 120.00
Element x y z (fractional)
Cl: 0.3424 0.1712 0.6753
Cl: 0.1712 0.3424 0.3247
Cl: 0.1712 0.8288 0.3247
Cl: 0.8288 0.6576 0.6753
Cl: 0.5000 0.5000 0.0000
Cl: 0.6576 0.8288 0.3247
Cl: 0.5000 0.0000 0.0000
Cl: 0.0000 0.5000 0.0000
Cl: 0.8288 0.1712 0.6753
Hg: 0.3333 0.6667 0.1599
Hg: 0.6667 0.3333 0.8401
Cs: 0.0000 0.0000 0.0000
Cs: 0.3333 0.6667 0.6782
Cs: 0.6667 0.3333 0.3218
Sr: 0.0000 0.0000 0.5000

## Properties
formation energy from raw total energies: -1.5359 eV per atom
total energy: -44.5 eV/f.u.